DFT (PBE) results for a relaxed Ac5Tl2P crystal.

CIF file:
```
data_Ac5Tl2P
_chemical_formula_sum 'Ac20 Tl8 P4'
_cell_length_a 13.5749
_cell_length_b 8.6533
_cell_length_c 10.2963
_cell_angle_alpha 90.00
_cell_angle_beta 90.00
_cell_angle_gamma 90.00
_symmetry_space_group_name_H-M 'P n m a'
_symmetry_Int_Tables_number 62
loop_
_symmetry_equiv_pos_as_xyz
'x,y,z'
'-x,-y,-z'
'-x+1/2,-y,z+1/2'
'x+1/2,y,-z+1/2'
'x+1/2,-y+1/2,-z+1/2'
'-x+1/2,y+1/2,z+1/2'
'-x,y+1/2,-z'
'x,-y+1/2,z'
loop_
_atom_site_label
_atom_site_type_symbol
_atom_site_fract_x
_atom_site_fract_y
_atom_site_fract_z
Ac1 Ac 0.0138 0.2500 0.0092
Ac2 Ac 0.0636 0.0024 0.6878
Ac3 Ac 0.2020 0.2500 0.3612
Ac4 Ac 0.2019 0.7500 0.3834
Tl1 Tl 0.1802 0.5272 0.1038
P1 P 0.0017 0.2500 0.4969
```

Summary:
- density (g/cm3) = 8.6
- calculated total energy (eV/cell) = -139.2
- E_form (meV/atom) = -514
- Fermi-level density of states (states/eV/f.u.) = 11.00

=====

DFT (PBE) results for a relaxed AcTlP crystal.

CIF file:
```
data_AcTlP
_chemical_formula_sum 'Ac2 Tl2 P2'
_cell_length_a 4.5508
_cell_length_b 7.1125
_cell_length_c 7.1410
_cell_angle_alpha 107.94
_cell_angle_beta 90.91
_cell_angle_gamma 107.40
_symmetry_space_group_name_H-M 'P -1'
_symmetry_Int_Tables_number 2
loop_
_symmetry_equiv_pos_as_xyz
'x,y,z'
'-x,-y,-z'
loop_
_atom_site_label
_atom_site_type_symbol
_atom_site_fract_x
_atom_site_fract_y
_atom_site_fract_z
Ac1 Ac 0.1692 0.3447 0.2335
Tl1 Tl 0.4451 0.8534 0.1922
P1 P 0.3689 0.7499 0.5486
```

Summary:
- density (g/cm3) = 7.4
- calculated total energy (eV/cell) = -26.8
- E_form (meV/atom) = -503
- E above lowest polymorph (eV/f.u.) = 0.13
- Fermi-level density of states (states/eV/f.u.) = 1.91

=====

DFT (PBE) results for a relaxed AcTlP crystal.

CIF file:
```
data_AcTlP
_chemical_formula_sum 'Ac2 Tl2 P2'
_cell_length_a 4.2222
_cell_length_b 4.2222
_cell_length_c 13.0643
_cell_angle_alpha 90.00
_cell_angle_beta 90.00
_cell_angle_gamma 90.00
_symmetry_space_group_name_H-M 'I 4 m m'
_symmetry_Int_Tables_number 107
_symmetry_space_group_name_Hall 'I 4 -2'
loop_
_atom_site_label
_atom_site_type_symbol
_atom_site_fract_x
_atom_site_fract_y
_atom_site_fract_z
Ac1 Ac 0.0000 0.0000 0.0000
Tl1 Tl 0.0000 0.0000 0.7396
P1 P 0.0000 0.0000 0.5377
```

Summary:
- density (g/cm3) = 6.6
- calculated total energy (eV/cell) = -27.0
- E_form (meV/atom) = -545
- E above lowest polymorph (eV/f.u.) = 0.00
- Fermi-level density of states (states/eV/f.u.) = 1.85

=====

DFT (PBE) results for a relaxed Ac4TlP2 crystal.

CIF file:
```
data_Ac4TlP2
_chemical_formula_sum 'Ac16 Tl4 P8'
_cell_length_a 4.4284
_cell_length_b 14.6711
_cell_length_c 15.3952
_cell_angle_alpha 90.00
_cell_angle_beta 90.00
_cell_angle_gamma 90.00
_symmetry_space_group_name_H-M 'C m c m'
_symmetry_Int_Tables_number 63
_symmetry_space_group_name_Hall '-C 2c 2'
loop_
_atom_site_label
_atom_site_type_symbol
_atom_site_fract_x
_atom_site_fract_y
_atom_site_fract_z
Ac1 Ac 0.0000 0.0000 0.0000
Ac2 Ac 0.0000 0.2696 0.1143
Ac3 Ac 0.0000 0.4342 0.7500
Tl1 Tl 0.0000 0.1092 0.7500
P1 P 0.0000 0.3641 0.5606
```

Summary:
- density (g/cm3) = 7.8
- calculated total energy (eV/cell) = -144.5
- E_form (meV/atom) = -931
- Fermi-level density of states (states/eV/f.u.) = 4.94

=====

DFT (PBE) results for a relaxed AcTmP crystal.

CIF file:
```
data_AcTmP
_chemical_formula_sum 'Ac4 Tm4 P4'
_cell_length_a 12.2163
_cell_length_b 4.0778
_cell_length_c 8.4385
_cell_angle_alpha 90.00
_cell_angle_beta 124.16
_cell_angle_gamma 90.00
_symmetry_space_group_name_H-M 'C 1 2/m 1'
_symmetry_Int_Tables_number 12
loop_
_symmetry_equiv_pos_as_xyz
'x,y,z'
'-x,-y,-z'
'-x,y,-z'
'x,-y,z'
'x+1/2,y+1/2,z'
'-x+1/2,-y+1/2,-z'
'-x+1/2,y+1/2,-z'
'x+1/2,-y+1/2,z'
loop_
_atom_site_label
_atom_site_type_symbol
_atom_site_fract_x
_atom_site_fract_y
_atom_site_fract_z
Ac1 Ac 0.0747 0.0000 0.3603
Tm1 Tm 0.1661 0.5000 0.0696
P1 P 0.1584 0.5000 0.7269
```

Summary:
- density (g/cm3) = 8.2
- calculated total energy (eV/cell) = -66.5
- E_form (meV/atom) = -875
- E above lowest polymorph (eV/f.u.) = 0.00
- Fermi-level density of states (states/eV/f.u.) = 3.15

=====

DFT (PBE) results for a relaxed AcTmP2 crystal.

CIF file:
```
data_AcTmP2
_chemical_formula_sum 'Ac4 Tm4 P8'
_cell_length_a 7.2059
_cell_length_b 7.2059
_cell_length_c 7.2059
_cell_angle_alpha 90.00
_cell_angle_beta 90.00
_cell_angle_gamma 90.00
_symmetry_space_group_name_H-M 'F m -3 m'
_symmetry_Int_Tables_number 225
_symmetry_space_group_name_Hall '-F 4 2 3'
loop_
_atom_site_label
_atom_site_type_symbol
_atom_site_fract_x
_atom_site_fract_y
_atom_site_fract_z
Ac1 Ac 0.0000 0.0000 0.0000
Tm1 Tm 0.0000 0.0000 0.5000
P1 P 0.2500 0.2500 0.2500
```

Summary:
- density (g/cm3) = 8.1
- calculated total energy (eV/cell) = -93.9
- E_form (meV/atom) = -1018
- E above lowest polymorph (eV/f.u.) = 1.84
- Fermi-level density of states (states/eV/f.u.) = 1.31

=====

DFT (PBE) results for a relaxed AcTmP2 crystal.

CIF file:
```
data_AcTmP2
_chemical_formula_sum 'Ac1 Tm1 P2'
_cell_length_a 5.1165
_cell_length_b 5.1165
_cell_length_c 3.6214
_cell_angle_alpha 90.00
_cell_angle_beta 90.00
_cell_angle_gamma 90.00
_symmetry_space_group_name_H-M 'P 4/m m m'
_symmetry_Int_Tables_number 123
_symmetry_space_group_name_Hall '-P 4 2'
loop_
_atom_site_label
_atom_site_type_symbol
_atom_site_fract_x
_atom_site_fract_y
_atom_site_fract_z
Ac1 Ac 0.0000 0.0000 0.0000
Tm1 Tm 0.5000 0.5000 0.0000
P1 P 0.0000 0.5000 0.5000
```

Summary:
- density (g/cm3) = 8.0
- calculated total energy (eV/cell) = -23.2
- E_form (meV/atom) = -961
- E above lowest polymorph (eV/f.u.) = 2.07
- Fermi-level density of states (states/eV/f.u.) = 1.35

=====

DFT (PBE) results for a relaxed AcTmP crystal.

CIF file:
```
data_AcTmP
_chemical_formula_sum 'Ac1 Tm1 P1'
_cell_length_a 4.0409
_cell_length_b 4.0409
_cell_length_c 6.8684
_cell_angle_alpha 90.00
_cell_angle_beta 90.00
_cell_angle_gamma 120.00
_symmetry_space_group_name_H-M 'P 3 m 1'
_symmetry_Int_Tables_number 156
loop_
_symmetry_equiv_pos_as_xyz
'x,y,z'
'-y,x-y,z'
'-x+y,-x,z'
'-y,-x,z'
'-x+y,y,z'
'x,x-y,z'
loop_
_atom_site_label
_atom_site_type_symbol
_atom_site_fract_x
_atom_site_fract_y
_atom_site_fract_z
Ac1 Ac 0.0000 0.0000 0.0000
Tm1 Tm 0.6667 0.3333 0.5134
P1 P 0.3333 0.6667 0.7176
```

Summary:
- density (g/cm3) = 7.3
- calculated total energy (eV/cell) = -16.5
- E_form (meV/atom) = -844
- E above lowest polymorph (eV/f.u.) = 0.09
- Fermi-level density of states (states/eV/f.u.) = 3.80

=====

DFT (PBE) results for a relaxed AcTmP2 crystal.

CIF file:
```
data_AcTmP2
_chemical_formula_sum 'Ac3 Tm3 P6'
_cell_length_a 4.1998
_cell_length_b 4.1998
_cell_length_c 20.5855
_cell_angle_alpha 90.00
_cell_angle_beta 90.00
_cell_angle_gamma 120.00
_symmetry_space_group_name_H-M 'R -3 m'
_symmetry_Int_Tables_number 166
_symmetry_space_group_name_Hall '-R 3 2"'
loop_
_atom_site_label
_atom_site_type_symbol
_atom_site_fract_x
_atom_site_fract_y
_atom_site_fract_z
Ac1 Ac 0.0000 0.0000 0.0000
Tm1 Tm 0.0000 0.0000 0.5000
P1 P 0.0000 0.0000 0.2410
```

Summary:
- density (g/cm3) = 7.3
- calculated total energy (eV/cell) = -75.9
- E_form (meV/atom) = -1478
- E above lowest polymorph (eV/f.u.) = 0.00
- Fermi-level density of states (states/eV/f.u.) = 0.45

=====

DFT (PBE) results for a relaxed AcTmP2 crystal.

CIF file:
```
data_AcTmP2
_chemical_formula_sum 'Ac3 Tm3 P6'
_cell_length_a 4.1203
_cell_length_b 4.1203
_cell_length_c 21.4546
_cell_angle_alpha 90.00
_cell_angle_beta 90.00
_cell_angle_gamma 120.00
_symmetry_space_group_name_H-M 'R 3 m'
_symmetry_Int_Tables_number 160
_symmetry_space_group_name_Hall 'R 3 -2"'
loop_
_atom_site_label
_atom_site_type_symbol
_atom_site_fract_x
_atom_site_fract_y
_atom_site_fract_z
Ac1 Ac 0.0000 0.0000 0.0000
Tm1 Tm 0.0000 0.0000 0.8290
P1 P 0.0000 0.0000 0.2378
P2 P 0.0000 0.0000 0.4228
```

Summary:
- density (g/cm3) = 7.2
- calculated total energy (eV/cell) = -74.6
- E_form (meV/atom) = -1364
- E above lowest polymorph (eV/f.u.) = 0.46
- Fermi-level density of states (states/eV/f.u.) = 0.21

=====

DFT (PBE) results for a relaxed AcUP crystal.

CIF file:
```
data_AcUP
_chemical_formula_sum 'Ac2 U2 P2'
_cell_length_a 3.6586
_cell_length_b 3.6586
_cell_length_c 12.3310
_cell_angle_alpha 90.00
_cell_angle_beta 90.00
_cell_angle_gamma 90.00
_symmetry_space_group_name_H-M 'I 4 m m'
_symmetry_Int_Tables_number 107
_symmetry_space_group_name_Hall 'I 4 -2'
loop_
_atom_site_label
_atom_site_type_symbol
_atom_site_fract_x
_atom_site_fract_y
_atom_site_fract_z
Ac1 Ac 0.0000 0.0000 0.0000
U1 U 0.0000 0.0000 0.2631
P1 P 0.0000 0.0000 0.6648
```

Summary:
- density (g/cm3) = 10.0
- calculated total energy (eV/cell) = -43.2
- E_form (meV/atom) = -260
- E above lowest polymorph (eV/f.u.) = 1.01
- Fermi-level density of states (states/eV/f.u.) = 6.53

=====

DFT (PBE) results for a relaxed AcUP crystal.

CIF file:
```
data_AcUP
_chemical_formula_sum 'Ac6 U6 P6'
_cell_length_a 3.9328
_cell_length_b 3.9328
_cell_length_c 37.2106
_cell_angle_alpha 90.00
_cell_angle_beta 90.00
_cell_angle_gamma 120.00
_symmetry_space_group_name_H-M 'R -3 m'
_symmetry_Int_Tables_number 166
_symmetry_space_group_name_Hall '-R 3 2"'
loop_
_atom_site_label
_atom_site_type_symbol
_atom_site_fract_x
_atom_site_fract_y
_atom_site_fract_z
Ac1 Ac 0.0000 0.0000 0.1149
U1 U 0.0000 0.0000 0.3511
P1 P 0.0000 0.0000 0.2710
```

Summary:
- density (g/cm3) = 9.9
- calculated total energy (eV/cell) = -135.6
- E_form (meV/atom) = -596
- E above lowest polymorph (eV/f.u.) = 0.00
- Fermi-level density of states (states/eV/f.u.) = 3.86